# TlFeHg2, optimized geometry, DFT PBE
# SG: Cm
# Energy relative to the elements in eV/atom: 0.34
# Total moment in μB per cell: 2.55
data_TlFeHg2
_symmetry_space_group_name_H-M 'P 1'
_symmetry_Int_Tables_number 1
_symmetry_space_group_name_Hall 'P 1'
_cell_length_a 7.2854
_cell_length_b 7.2854
_cell_length_c 4.6588
_cell_angle_alpha 71.19
_cell_angle_beta 71.19
_cell_angle_gamma 23.66
loop_
_atom_site_label
_atom_site_type_symbol
_atom_site_fract_x
_atom_site_fract_y
_atom_site_fract_z
_atom_site_occupancy
Fe1 Fe 0.7462 0.7462 0.7535 1
Hg1 Hg 0.0704 0.0704 0.9293 1
Hg2 Hg 0.2506 0.2506 0.2493 1
Tl1 Tl 0.4328 0.4328 0.5679 1